A plane-wave DFT calculation with PBE-GGA was carried out for a relaxed PRh2W crystal.

Cell: 4.0000 2.8350 5.1777 Å, 75.03 90.00 90.00°
Last column: nearest neighbours and their distance in Å.
Positions (direct):
W 0.5000 0.5000 0.0000  2 P 2.59, 8 Rh 2.76-2.80, 2 W 2.83
Rh 0.0000 0.8606 0.2618  2 P 2.43, 1 Rh 2.62
Rh 0.0000 0.1394 0.7382  2 P 2.43, 1 Rh 2.62
P 0.5000 0.5000 0.5000  4 Rh 2.43, 2 W 2.59

A plane-wave DFT calculation with PBE-GGA was carried out for a relaxed Pm2AlPt crystal.

Cell: 3.6452 3.6452 7.3014 Å, 90.00 90.00 90.00°
Last column: nearest neighbours and their distance in Å.
Positions (direct):
Pm 0.0000 0.0000 0.2346  4 Pt 3.09, 4 Al 3.22, 1 Pm 3.43
Pm 0.0000 0.0000 0.7654  4 Pt 3.09, 4 Al 3.22, 1 Pm 3.43
Pt 0.5000 0.5000 0.0000  8 Pm 3.09
Al 0.5000 0.5000 0.5000  8 Pm 3.22

A plane-wave DFT calculation with PBE-GGA was carried out for a relaxed AcMgH8Rh2 crystal.

Cell: 4.8519 4.8519 6.5265 Å, 68.18 68.18 60.00°
Last column: nearest neighbours and their distance in Å.
Positions (direct):
H 0.7978 0.7978 0.6065  1 Rh 1.76
H 0.3604 0.9025 0.1368  2 Rh 1.74-1.90
H 0.6396 0.0975 0.8632  2 Rh 1.74-1.90
H 0.2022 0.2022 0.3935  1 Rh 1.76
H 0.0975 0.3996 0.8632  2 Rh 1.74-1.90
H 0.6004 0.3604 0.1368  2 Rh 1.74-1.90
H 0.9025 0.6004 0.1368  2 Rh 1.74-1.90
H 0.3996 0.6396 0.8632  2 Rh 1.74-1.90
Mg 0.0000 0.0000 0.0000  6 H 2.02
Rh 0.3017 0.3017 0.0948  7 H 1.74-1.90
Rh 0.6983 0.6983 0.9052  7 H 1.74-1.90
Ac 0.5000 0.5000 0.5000  6 H 2.51

A plane-wave DFT calculation with PBE-GGA was carried out for a relaxed NdPu2Tc crystal.

Cell: 3.3253 3.3253 8.9826 Å, 90.00 90.00 90.00°
Last column: nearest neighbours and their distance in Å.
Positions (direct):
Pu 0.0000 0.0000 0.1939  4 Tc 2.93
Pu 0.0000 0.0000 0.8061  4 Tc 2.93
Tc 0.5000 0.5000 0.0000  8 Pu 2.93
Nd 0.5000 0.5000 0.5000  4 Nd 3.33, 8 Pu 3.62

- energy relative to the lowest polymorph listed for this composition (eV per formula unit) = 0.000

A plane-wave DFT calculation with PBE-GGA was carried out for a relaxed KPRuS2 crystal.

Cell: 4.9527 4.9527 4.4725 Å, 90.00 90.00 90.00°
Last column: nearest neighbours and their distance in Å.
Positions (direct):
P 0.0000 0.0000 0.5000  2 Ru 2.24
S 0.0000 0.5000 0.0000  2 Ru 2.48
S 0.5000 0.0000 0.0000  2 Ru 2.48
Ru 0.0000 0.0000 0.0000  2 P 2.24, 4 S 2.48
K 0.5000 0.5000 0.5000  8 S 3.34, 4 P 3.50

- energy relative to the lowest polymorph listed for this composition (eV per formula unit) = 0.000

A plane-wave DFT calculation with PBE-GGA was carried out for a relaxed Ba2TaIn crystal.

Cell: 5.2603 3.5798 7.4041 Å, 76.46 90.00 90.00°
Last column: nearest neighbours and their distance in Å.
Positions (direct):
Ba 0.5000 0.2762 0.3104  2 Ta 3.47-3.48, 4 In 3.54, 2 Ba 3.58
Ba 0.0000 0.9737 0.9381  2 In 3.46, 4 Ta 3.53-3.54, 2 Ba 3.58
Ta 0.5000 0.5785 0.7248  2 In 2.99
In 0.0000 0.6716 0.5266  2 Ta 2.99

- energy relative to the lowest polymorph listed for this composition (eV per formula unit) = 0.508

A plane-wave DFT calculation with PBE-GGA was carried out for a relaxed MgI3F crystal.

Cell: 5.6489 5.6489 5.6489 Å, 90.00 90.00 90.00°
Last column: nearest neighbours and their distance in Å.
Positions (direct):
F 0.5000 0.5000 0.5000  12 I 3.99
I 0.0000 0.0000 0.5000  2 Mg 2.82
I 0.0000 0.5000 0.0000  2 Mg 2.82
I 0.5000 0.0000 0.0000  2 Mg 2.82
Mg 0.0000 0.0000 0.0000  6 I 2.82

- energy relative to the lowest polymorph listed for this composition (eV per formula unit) = 0.000

A plane-wave DFT calculation with PBE-GGA was carried out for a relaxed Rb2AlHgCl6 crystal.

Cell: 7.4411 7.4411 7.4468 Å, 60.03 60.03 90.00°
Last column: nearest neighbours and their distance in Å.
Positions (direct):
Rb 0.7500 0.2500 0.5000  12 Cl 3.73
Rb 0.2500 0.7500 0.5000  12 Cl 3.73
Cl 0.7242 0.2758 0.0000  1 Al 2.36
Cl 0.2758 0.2758 0.0000  1 Al 2.36
Cl 0.7239 0.7239 0.5522  1 Al 2.36
Cl 0.2761 0.2761 0.4478  1 Al 2.36
Cl 0.7242 0.7242 0.0000  1 Al 2.36
Cl 0.2758 0.7242 0.0000  1 Al 2.36
Al 0.5000 0.5000 0.0000  6 Cl 2.36
Hg 0.0000 0.0000 0.0000  6 Cl 2.90-2.91

Sequential total DFT energy (no corrections) output: -8.487, -5.530, -4.228, -10.827, -4.818, -4.032, -1.955, -3.135 eV per atom